Entry 1:
Here is MnZnBr2 after structural relaxation from the Alexandria database. Energies are from GGA-PBEsol.

Results
The value obtained for the density of states at the Fermi level is 0.57 states/eV/atom. The value obtained for the uncorrected formation energy is 0.18 eV/atom. The size of the total moment comes out at 4.3 μB/cell. The calculation puts the relative energy among the computed polymorphs at 0.211 eV/atom. The mass density comes out at 5.4 g cm⁻³.

a b c (Å): 3.6200 3.9491 6.0643
angles (deg): 90.00 90.00 90.00
Last column: nearest neighbours and their distance in Å.
Space group Pmmm (No. 47)
Inequivalent atoms, fractional coordinates:
Mn (0.0000, 0.0000, 0.0000)  4 Br 2.68
Zn (0.5000, 0.0000, 0.5000)  4 Br 2.68
Br (0.0000, 0.5000, 0.5000)  4 Zn 2.68
Br (0.5000, 0.5000, 0.0000)  4 Mn 2.68

---

Entry 2:
Here is CdNiPb2 after structural relaxation from the Alexandria database. Energies are from GGA-PBEsol.

Results
The value obtained for the density of states at the Fermi level is 0.43 states/eV/atom. The size of the total moment comes out at 0.0 μB/cell. The formation energy comes out at 0.49 eV/f.u. The calculation puts the relative energy among the computed polymorphs at 0.012 eV/atom. The mass density comes out at 10.9 g cm⁻³.

a b c (Å): 3.3063 4.1911 12.8698
angles (deg): 90.00 90.00 90.00
Last column: nearest neighbours and their distance in Å.
Space group Amm2 (No. 38)
Inequivalent atoms, fractional coordinates:
Cd (0.0000, 0.0000, 0.0000)  2 Ni 2.68
Ni (0.5000, 0.0000, 0.8361)  2 Cd 2.68, 5 Pb 2.69-2.70
Pb (0.0000, 0.0000, 0.3094)  4 Ni 2.69
Pb (0.5000, 0.0000, 0.6264)  1 Ni 2.70